## Li3La3Hg2 (PBE-GGA)

Data for crystalline Li3La3Hg2 at its relaxed geometry.

Mass density   6.5 Mg/m³
Size of the total moment   0.0 μB per cell
SG   Pnma, No. 62
Density of states at the Fermi level   6.9 states/eV/f.u.
Crystal system   orthorhombic

Unit cell a=9.1462 b=15.9883 c=5.8624 alpha=90.00 beta=90.00 gamma=90.00
Fractional positions:
Li  0.1652  0.2500  0.1507
Li  0.1797  0.5347  0.1100
Li  0.1797  0.9653  0.1100
Li  0.3203  0.0347  0.6100
Li  0.3203  0.4653  0.6100
Li  0.3348  0.7500  0.6507
Li  0.6652  0.2500  0.3493
Li  0.6797  0.5347  0.3900
Li  0.6797  0.9653  0.3900
Li  0.8203  0.0347  0.8900
Li  0.8203  0.4653  0.8900
Li  0.8348  0.7500  0.8493
La  0.0482  0.6034  0.6337
La  0.0482  0.8966  0.6337
La  0.1630  0.7500  0.1689
La  0.3370  0.2500  0.6689
La  0.4518  0.1034  0.1337
La  0.4518  0.3966  0.1337
La  0.5482  0.6034  0.8663
La  0.5482  0.8966  0.8663
La  0.6630  0.7500  0.3311
La  0.8370  0.2500  0.8311
La  0.9518  0.1034  0.3663
La  0.9518  0.3966  0.3663
Hg  0.1099  0.1064  0.8655
Hg  0.1099  0.3936  0.8655
Hg  0.3901  0.6064  0.3655
Hg  0.3901  0.8936  0.3655
Hg  0.6099  0.1064  0.6345
Hg  0.6099  0.3936  0.6345
Hg  0.8901  0.6064  0.1345
Hg  0.8901  0.8936  0.1345



## Li2LaHg (PBE-GGA)

Data for crystalline Li2LaHg at its relaxed geometry.

Mass density   5.7 Mg/m³
Size of the total moment   0.0 μB per cell
SG   R-3m, No. 166
Density of states at the Fermi level   4.0 states/eV/f.u.
Crystal system   trigonal

Unit cell a=10.3399 b=10.3399 c=10.3399 alpha=19.02 beta=19.02 gamma=19.02
Fractional positions:
Li  0.2373  0.2373  0.2373
Li  0.7627  0.7627  0.7627
La  0.0000  0.0000  0.0000
Hg  0.5000  0.5000  0.5000



## Li2LaHg (PBE-GGA)

Data for crystalline Li2LaHg at its relaxed geometry.

Mass density   6.0 Mg/m³
Size of the total moment   0.0 μB per cell
SG   C2/m, No. 12
Density of states at the Fermi level   2.8 states/eV/f.u.
Crystal system   monoclinic

Unit cell a=5.3497 b=5.3497 c=5.6012 alpha=102.90 beta=102.90 gamma=38.72
Fractional positions:
Li  0.2266  0.2266  0.1796
Li  0.7734  0.7734  0.8204
La  0.0000  0.0000  0.5000
Hg  0.5000  0.5000  0.0000



## Li2La3Hg4 (PBE-GGA)

Data for crystalline Li2La3Hg4 at its relaxed geometry.

Mass density   8.7 Mg/m³
Size of the total moment   0.0 μB per cell
SG   C2/m, No. 12
Polymorph energy (0 for the lowest one)   2 meV per atom
Density of states at the Fermi level   6.6 states/eV/f.u.
Crystal system   monoclinic

Unit cell a=5.5368 b=5.5368 c=9.3278 alpha=100.36 beta=100.36 gamma=57.56
Fractional positions:
Li  0.2271  0.2271  0.3890
Li  0.7729  0.7729  0.6110
La  0.1172  0.1172  0.7233
La  0.5000  0.5000  0.0000
La  0.8828  0.8828  0.2767
Hg  0.1928  0.1928  0.0912
Hg  0.4265  0.4265  0.6316
Hg  0.5735  0.5735  0.3684
Hg  0.8072  0.8072  0.9088



Results for formation energy from the elements: -1.664; -0.135; -0.701; -3.770 (in eV per formula unit, following the order of the records).